1.
Pu2Pa2FeGe4 | PBE-GGA | optimized geometry

a = 6.983 Å, b = 6.983 Å, c = 7.773 Å
α = 90.00°, β = 90.00°, γ = 90.00°
Space group I4/mmm (No. 139)
Inequivalent atoms, fractional coordinates:
Pu1 0.000 0.000 0.186 x4
Pa1 0.000 0.500 0.250 x4
Fe1 0.000 0.000 0.500 x2
Ge1 0.240 0.240 0.500 x8

Size of the total moment, μB per atom: 1.1617
Formation enthalpy at 0 K, eV/atom: -0.240

2.
NbTeI | PBE-GGA | optimized geometry

a = 15.629 Å, b = 3.665 Å, c = 6.540 Å
α = 90.00°, β = 101.84°, γ = 90.00°
Space group Cm (No. 8)
Inequivalent atoms, fractional coordinates:
Nb1 0.000 0.000 0.000 x2
Nb2 0.010 0.500 0.368 x2
Te1 0.103 0.500 0.808 x2
Te2 0.140 0.000 0.335 x2
I1 0.364 0.000 0.028 x2
I2 0.400 0.500 0.551 x2

Size of the total moment, μB per atom: 0.0000
Formation energy without anion corrections, kJ/mol of atoms: -44.3
Polymorph energy (0 for the lowest one), meV per atom: 38

3.
KSbCl4 | PBE-GGA | optimized geometry

a = 8.684 Å, b = 8.684 Å, c = 8.684 Å
α = 90.00°, β = 90.00°, γ = 90.00°
Space group F-43m (No. 216)
Inequivalent atoms, fractional coordinates:
K1 0.000 0.000 0.000 x4
Sb1 0.250 0.250 0.750 x4
Cl1 0.125 0.125 0.375 x16

Size of the total moment, μB per atom: 0.0072
Formation energy without anion corrections, kJ/mol of atoms: -1.3
Polymorph energy (0 for the lowest one), meV per atom: 1247

Number 1: calculated density 11.4 g/cm³. Number 2: calculated density 6.3 g/cm³. Number 3: calculated density 3.1 g/cm³.